--- one ---
K2SrPt: relaxed, PBE.

```
K2SrPt
1.0
8.255 0.022 -0.002
5.127 6.470 0.002
-6.133 -4.396 3.348
K Pt Sr
2 1 1
direct
0.992 0.992 0.000 K
0.338 0.838 0.500 K
0.516 0.516 0.000 Pt
0.654 0.154 0.500 Sr
```

Results
The symmetry is Imm2.

***

--- two ---
K2SrPt: relaxed, PBE.

```
K2SrPt
1.0
5.710 -0.001 0.000
0.021 5.710 0.000
-2.865 -2.855 4.030
K Pt Sr
2 1 1
direct
0.000 0.000 0.000 K
0.250 0.750 0.500 K
0.500 0.500 0.000 Pt
0.750 0.250 0.500 Sr
```

Results
The symmetry is I-4m2.

***

Name the least stable of them. two.

***

--- one ---
K2SrPt: relaxed, PBE.

```
K2SrPt
1.0
4.768 0.000 0.000
0.000 4.768 0.000
0.000 0.000 6.042
K Pt Sr
2 1 1
direct
0.000 0.000 0.000 K
0.500 0.500 0.000 K
0.500 0.000 0.500 Pt
0.000 0.500 0.500 Sr
```

Results
The symmetry is P4/mmm.

***

--- two ---
K2SrPt: relaxed, PBE.

```
K2SrPt
1.0
4.519 -0.002 0.062
2.255 3.916 0.062
2.116 1.223 11.199
K Pt Sr
2 1 1
direct
0.992 0.992 0.016 K
0.783 0.783 0.652 K
0.508 0.508 0.478 Pt
0.216 0.216 0.354 Sr
```

Results
The symmetry is Cm.

***

Name the least stable of them. one.